The following is a PBE calculation of crystalline CdInS2 at its relaxed geometry, from Alexandria via LeMat-Bulk.

Values from the calculation:
Its total magnetization is 0.0 Bohr magnetons per cell. The formation energy from raw total energies comes out at -0.431 eV/atom. The value obtained for the uncorrected energy is -3.4080 eV per atom. The calculation puts the density of states at the Fermi level at 3.2 states/eV/cell. Its space group is I-42d.

Lattice parameters (Å, degrees): 6.066 6.066 7.525 66.23 66.23 90.00
Element x y z (fractional)
S 0.614 0.125 0.250
S 0.136 0.625 0.250
S 0.375 0.386 0.750
S 0.875 0.864 0.750
Cd 0.500 0.500 0.000
Cd 0.250 0.750 0.500
In 0.000 0.000 0.000
In 0.750 0.250 0.500

***

The following is a PBE calculation of crystalline PmTmAl4 at its relaxed geometry, from Alexandria via LeMat-Bulk.

Values from the calculation:
The value obtained for the energy relative to the elements is -495 meV per atom. Its total magnetization is 0.0 Bohr magnetons per cell. The value obtained for the uncorrected energy is -4.5270 eV per atom. The calculation puts the density of states at the Fermi level at 4.9 states/eV/cell. Its space group is F-43m.

Lattice parameters (Å, degrees): 5.589 5.589 5.589 60.00 60.00 60.00
Element x y z (fractional)
Tm 0.250 0.250 0.250
Al 0.625 0.625 0.125
Al 0.625 0.125 0.625
Al 0.625 0.625 0.625
Al 0.125 0.625 0.625
Pm 0.000 0.000 0.000

***

The following is a PBE calculation of crystalline Dy2ScCdHg4 at its relaxed geometry, from Alexandria via LeMat-Bulk.

Values from the calculation:
The value obtained for the energy relative to the elements is -430 meV per atom. Its total magnetization is 0.0 Bohr magnetons per cell. The value obtained for the uncorrected energy is -2.6376 eV per atom. The calculation puts the density of states at the Fermi level at 3.5 states/eV/cell. Its space group is R-3m.

Lattice parameters (Å, degrees): 5.085 5.085 8.945 73.49 73.49 60.00
Element x y z (fractional)
Dy 0.744 0.744 0.767
Dy 0.256 0.256 0.233
Sc 0.500 0.500 0.500
Cd 0.000 0.000 0.000
Hg 0.380 0.380 0.861
Hg 0.868 0.868 0.396
Hg 0.132 0.132 0.604
Hg 0.620 0.620 0.139

***

Question: density of states at the Fermi level of number 2 (PmTmAl4)?
Answer: 4.9 states/eV/cell

***

Question: What is the uncorrected energy in the first record?
Answer: -3.4080 eV per atom